1.
Material: Pr5SmIn4
Method: DFT, PBE-GGA
State: optimized geometry

```
10
Lattice="-1.714 -2.611 -1.918 3.232 -1.538 -0.794 -1.492 -12.877 18.861" Properties=species:S:1:pos:R:3 pbc="T T T"
Pr 0.586 -3.567 0.830
Pr 0.300 -6.033 4.442
Pr 0.013 -8.513 8.074
Pr -0.275 -10.992 11.706
Pr -0.560 -13.459 15.318
Sm 0.000 0.000 0.000
In -0.315 -2.715 3.977
In -0.602 -5.198 7.614
In -0.890 -7.678 11.247
In -1.177 -10.162 14.884
```

Calculated values
- Energy relative to the elements: -0.3784 eV per atom
- Space group: P4/mmm, No. 123
- Volume: 307.55 Å³/cell
- Crystal system: tetragonal
- Total moment: 0.0 μB per formula unit
- Energy above the most stable polymorph in this dataset: 0.000 eV per atom

2.
Material: FeAsSeBr2
Method: DFT, PBE-GGA
State: optimized geometry

```
5
Lattice="5.315 0.000 0.000 0.000 5.315 0.000 0.000 0.000 5.161" Properties=species:S:1:pos:R:3 pbc="T T T"
As 0.000 0.000 2.581
Se 0.000 0.000 0.000
Br 0.000 2.657 0.000
Br 2.657 0.000 0.000
Fe 2.657 2.657 2.581
```

Calculated values
- Space group: P4/mmm, No. 123
- Volume: 145.77 Å³/cell
- ΔE_f (raw): 4.795 eV per formula unit
- Crystal system: tetragonal
- Total moment: 4.3 μB per formula unit
- Energy above the most stable polymorph in this dataset: 0.536 eV per atom

3.
Material: V2GaFeRe
Method: DFT, PBE-GGA
State: optimized geometry

```
5
Lattice="4.574 0.000 0.000 0.000 4.574 0.000 0.000 0.000 4.762" Properties=species:S:1:pos:R:3 pbc="T T T"
Re 0.000 0.000 0.000
Fe 2.287 2.287 2.381
Ga 0.000 0.000 2.381
V 0.000 2.287 0.000
V 2.287 0.000 0.000
```

Calculated values
- Energy relative to the elements: 1.3268 eV per atom
- Space group: P4/mmm, No. 123
- Volume: 99.61 Å³/cell
- Crystal system: tetragonal
- Total moment: 4.0 μB per formula unit

4.
Material: La6HgRu2I3
Method: DFT, PBE-GGA
State: optimized geometry

```
12
Lattice="7.490 0.000 0.001 -3.743 6.488 0.001 -1.249 -2.162 8.278" Properties=species:S:1:pos:R:3 pbc="T T T"
La 3.867 1.951 6.700
La 2.377 4.116 1.568
La -1.369 2.375 1.580
La -0.242 4.325 6.700
La 0.121 0.210 6.712
La 2.741 0.001 1.580
Hg 0.000 0.000 0.000
Ru -0.001 4.327 0.001
Ru 3.749 2.161 0.001
I -2.544 4.354 4.140
I 5.043 -0.028 4.140
I 1.249 2.163 4.140
```

Calculated values
- Space group: C2/m, No. 12
- Volume: 402.32 Å³/cell
- ΔE_f (raw): -9.722 eV per formula unit
- Crystal system: monoclinic
- Total moment: 0.0 μB per formula unit

5.
Material: Pa2TcN6
Method: DFT, PBE-GGA
State: optimized geometry

```
9
Lattice="-0.121 -0.820 3.855 -2.786 -4.619 -1.070 5.496 -0.077 0.156" Properties=species:S:1:pos:R:3 pbc="T T T"
Pa -0.054 -3.303 0.271
Pa 2.644 -2.213 2.671
Tc -0.060 -0.410 1.928
N 2.188 -3.258 0.357
N 1.664 -0.610 0.904
N 4.267 -1.505 0.795
N 0.402 -2.259 2.584
N 0.925 -4.907 2.037
N -1.677 -4.011 2.146
```

Calculated values
- Space group: P-3, No. 147
- Volume: 103.28 Å³/cell
- ΔE_f (raw): -4.724 eV per formula unit
- Crystal system: trigonal
- Total moment: 0.0 μB per formula unit

6.
Material: CuSe2Cl
Method: DFT, PBE-GGA
State: optimized geometry

```
4
Lattice="2.192 0.000 7.430 -1.096 1.898 7.430 -1.096 -1.898 7.430" Properties=species:S:1:pos:R:3 pbc="T T T"
Cu 0.000 0.000 11.146
Se 0.000 0.000 19.791
Se 0.000 0.000 2.501
Cl 0.000 0.000 0.000
```

Calculated values
- Space group: R-3m, No. 166
- Volume: 92.74 Å³/cell
- ΔE_f (raw): -0.169 eV per formula unit
- Crystal system: trigonal
- Total moment: 0.0 μB per formula unit
- Energy above the most stable polymorph in this dataset: 0.248 eV per atom